Model a:
Density functional theory data (meta-GGA SCAN) for Co2IrOs at its PBEsol-relaxed geometry.

Size of the total moment, μB per atom: 0.97
Density, g cm⁻³: 16.93
Density of states at the Fermi level, states/eV/cell: 3.6
Crystal system: tetragonal

abc: 2.649 2.649 6.993
angles: 90.00 90.00 90.00
Space group P4mm (No. 99)
Inequivalent atoms, fractional coordinates:
Co 0.000 0.000 0.000
Co 0.500 0.500 0.222
Ir 0.000 0.000 0.478
Os 0.500 0.500 0.751


Model b:
Density functional theory data (meta-GGA SCAN) for Co2IrOs at its PBEsol-relaxed geometry.

Size of the total moment, μB per atom: 0.93
Density, g cm⁻³: 16.83
Density of states at the Fermi level, states/eV/cell: 13.3
Crystal system: trigonal

abc: 2.6236 2.6236 24.8355
angles: 90.00 90.00 120.00
Space group R-3m (No. 166, hexagonal axes)
Inequivalent atoms, fractional coordinates:
Co 0.0000 0.0000 0.2494
Ir 0.0000 0.0000 0.0000
Os 0.0000 0.0000 0.5000


Model c:
Density functional theory data (meta-GGA SCAN) for Co2IrOs at its PBEsol-relaxed geometry.

Size of the total moment, μB per atom: 1.35
Density, g cm⁻³: 16.22
Density of states at the Fermi level, states/eV/cell: 3.4
Crystal system: orthorhombic

abc: 2.666 4.293 4.474
angles: 90.00 90.00 90.00
Space group Pmmm (No. 47)
Inequivalent atoms, fractional coordinates:
Co 0.000 0.000 0.000
Co 0.500 0.000 0.500
Ir 0.000 0.500 0.500
Os 0.500 0.500 0.000


In order of decreasing stability: model a, model b, model c.


Model a:
Density functional theory data (meta-GGA SCAN) for Co2IrOs at its PBEsol-relaxed geometry.

Size of the total moment, μB per atom: 0.68
Density, g cm⁻³: 17.18
Density of states at the Fermi level, states/eV/cell: 7.5
Crystal system: tetragonal

abc: 3.611 3.611 7.419
angles: 90.00 90.00 90.00
Space group I-4m2 (No. 119)
Inequivalent atoms, fractional coordinates:
Co 0.000 0.000 0.000
Co 0.000 0.500 0.250
Ir 0.000 0.000 0.500
Os 0.000 0.500 0.750


Model b:
Density functional theory data (meta-GGA SCAN) for Co2IrOs at its PBEsol-relaxed geometry.

Size of the total moment, μB per atom: 0.66
Density, g cm⁻³: 17.10
Density of states at the Fermi level, states/eV/cell: 7.9
Crystal system: monoclinic

abc: 8.587 2.617 4.395
angles: 90.00 100.40 90.00
Space group Cm (No. 8)
Inequivalent atoms, fractional coordinates:
Co 0.000 0.000 0.000
Co 0.247 0.500 0.236
Ir 0.249 0.000 0.745
Os 0.496 0.000 0.483


Model c:
Density functional theory data (meta-GGA SCAN) for Co2IrOs at its PBEsol-relaxed geometry.

Size of the total moment, μB per atom: 0.61
Density, g cm⁻³: 17.17
Density of states at the Fermi level, states/eV/cell: 3.7
Crystal system: tetragonal

abc: 3.687 3.687 3.558
angles: 90.00 90.00 90.00
Space group P4/mmm (No. 123)
Inequivalent atoms, fractional coordinates:
Co 0.000 0.500 0.000
Ir 0.000 0.000 0.500
Os 0.500 0.500 0.500


In order of decreasing stability: model a, model b, model c.


Model a:
Density functional theory data (meta-GGA SCAN) for Co2IrOs at its PBEsol-relaxed geometry.

Size of the total moment, μB per atom: 0.84
Density, g cm⁻³: 16.87
Density of states at the Fermi level, states/eV/cell: 8.4
Crystal system: monoclinic

abc: 8.399 2.620 4.548
angles: 90.00 100.24 90.00
Space group C2/m (No. 12)
Inequivalent atoms, fractional coordinates:
Co 0.250 0.000 0.241
Ir 0.000 0.000 0.500
Os 0.000 0.500 0.000


Model b:
Density functional theory data (meta-GGA SCAN) for Co2IrOs at its PBEsol-relaxed geometry.

Size of the total moment, μB per atom: 1.34
Density, g cm⁻³: 16.21
Density of states at the Fermi level, states/eV/cell: 6.6
Crystal system: orthorhombic

abc: 2.681 4.462 8.570
angles: 90.00 90.00 90.00
Space group Immm (No. 71)
Inequivalent atoms, fractional coordinates:
Co 0.000 0.000 0.248
Ir 0.000 0.500 0.000
Os 0.000 0.500 0.500


Model c:
Density functional theory data (meta-GGA SCAN) for Co2IrOs at its PBEsol-relaxed geometry.

Size of the total moment, μB per atom: 0.68
Density, g cm⁻³: 17.04
Density of states at the Fermi level, states/eV/cell: 3.8
Crystal system: orthorhombic

abc: 2.629 3.642 5.093
angles: 90.00 90.00 90.00
Space group Pmm2 (No. 25)
Inequivalent atoms, fractional coordinates:
Co 0.000 0.000 0.000
Co 0.500 0.500 0.230
Ir 0.000 0.000 0.487
Os 0.500 0.500 0.754


In order of decreasing stability: model c, model a, model b.


Model a:
Density functional theory data (meta-GGA SCAN) for CoP2Ir at its PBEsol-relaxed geometry.

Size of the total moment, μB per atom: 0.45
Density, g cm⁻³: 10.62
Density of states at the Fermi level, states/eV/cell: 4.9
Crystal system: orthorhombic

abc: 5.660 6.125 2.826
angles: 90.00 90.00 90.00
Space group Cmmm (No. 65)
Inequivalent atoms, fractional coordinates:
Co 0.000 0.000 0.000
P 0.250 0.250 0.500
Ir 0.000 0.500 0.000


Model b:
Density functional theory data (meta-GGA SCAN) for CoP2Ir at its PBEsol-relaxed geometry.

Size of the total moment, μB per atom: 0.00
Density, g cm⁻³: 8.05
Density of states at the Fermi level, states/eV/cell: 10.4
Crystal system: tetragonal

abc: 5.029 5.029 10.215
angles: 90.00 90.00 90.00
Space group I-42d (No. 122)
Inequivalent atoms, fractional coordinates:
Co 0.000 0.000 0.000
P 0.228 0.250 0.125
Ir 0.000 0.000 0.500


In order of decreasing stability: model b, model a.


Model a:
Density functional theory data (meta-GGA SCAN) for CoIrPb2 at its PBEsol-relaxed geometry.

Size of the total moment, μB per atom: 0.48
Density, g cm⁻³: 15.31
Density of states at the Fermi level, states/eV/cell: 1.7
Crystal system: tetragonal

abc: 4.600 4.600 3.411
angles: 90.00 90.00 90.00
Space group P4/mmm (No. 123)
Inequivalent atoms, fractional coordinates:
Co 0.000 0.000 0.000
Ir 0.500 0.500 0.000
Pb 0.000 0.500 0.500


Model b:
Density functional theory data (meta-GGA SCAN) for CoIrPb2 at its PBEsol-relaxed geometry.

Size of the total moment, μB per atom: 0.43
Density, g cm⁻³: 15.01
Density of states at the Fermi level, states/eV/cell: 4.2
Crystal system: monoclinic

abc: 8.321 3.213 5.667
angles: 90.00 103.56 90.00
Space group C2/m (No. 12)
Inequivalent atoms, fractional coordinates:
Co 0.000 0.000 0.000
Ir 0.000 0.500 0.500
Pb 0.244 0.500 0.241


Model c:
Density functional theory data (meta-GGA SCAN) for CoIrPb2 at its PBEsol-relaxed geometry.

Size of the total moment, μB per atom: 0.50
Density, g cm⁻³: 15.33
Density of states at the Fermi level, states/eV/cell: 2.1
Crystal system: tetragonal

abc: 3.315 3.315 6.559
angles: 90.00 90.00 90.00
Space group P4/mmm (No. 123)
Inequivalent atoms, fractional coordinates:
Co 0.000 0.000 0.000
Ir 0.000 0.000 0.500
Pb 0.500 0.500 0.243


Model d:
Density functional theory data (meta-GGA SCAN) for CoIrPb2 at its PBEsol-relaxed geometry.

Size of the total moment, μB per atom: 0.60
Density, g cm⁻³: 13.75
Density of states at the Fermi level, states/eV/cell: 2.7
Crystal system: orthorhombic

abc: 3.056 3.270 8.043
angles: 90.00 90.00 90.00
Space group Pmm2 (No. 25)
Inequivalent atoms, fractional coordinates:
Co 0.000 0.000 0.000
Ir 0.500 0.500 0.148
Pb 0.000 0.000 0.388
Pb 0.500 0.500 0.776


In order of decreasing stability: model d, model a, model b, model c.


Model a:
Density functional theory data (meta-GGA SCAN) for Co2IrPt at its PBEsol-relaxed geometry.

Size of the total moment, μB per atom: 1.18
Density, g cm⁻³: 16.47
Density of states at the Fermi level, states/eV/cell: 12.4
Crystal system: trigonal

abc: 2.6467 2.6467 25.1900
angles: 90.00 90.00 120.00
Space group R-3m (No. 166, hexagonal axes)
Inequivalent atoms, fractional coordinates:
Co 0.0000 0.0000 0.2487
Ir 0.0000 0.0000 0.5000
Pt 0.0000 0.0000 0.0000


Model b:
Density functional theory data (meta-GGA SCAN) for Co2IrPt at its PBEsol-relaxed geometry.

Size of the total moment, μB per atom: 1.18
Density, g cm⁻³: 16.78
Density of states at the Fermi level, states/eV/cell: 9.1
Crystal system: orthorhombic

abc: 5.281 7.187 2.635
angles: 90.00 90.00 90.00
Space group Cmmm (No. 65)
Inequivalent atoms, fractional coordinates:
Co 0.250 0.250 0.000
Ir 0.000 0.000 0.500
Pt 0.000 0.500 0.500


In order of decreasing stability: model b, model a.


Model a:
Density functional theory data (meta-GGA SCAN) for Co2IrPt at its PBEsol-relaxed geometry.

Size of the total moment, μB per atom: 1.31
Density, g cm⁻³: 16.81
Density of states at the Fermi level, states/eV/cell: 3.4
Crystal system: tetragonal

abc: 3.740 3.740 3.568
angles: 90.00 90.00 90.00
Space group P4/mmm (No. 123)
Inequivalent atoms, fractional coordinates:
Co 0.000 0.500 0.000
Ir 0.000 0.000 0.500
Pt 0.500 0.500 0.500


Model b:
Density functional theory data (meta-GGA SCAN) for Co2IrPt at its PBEsol-relaxed geometry.

Size of the total moment, μB per atom: 1.17
Density, g cm⁻³: 16.41
Density of states at the Fermi level, states/eV/cell: 7.6
Crystal system: monoclinic

abc: 8.544 2.646 4.597
angles: 90.00 100.41 90.00
Space group C2/m (No. 12)
Inequivalent atoms, fractional coordinates:
Co 0.248 0.000 0.237
Ir 0.000 0.500 0.000
Pt 0.000 0.000 0.500


In order of decreasing stability: model a, model b.


Model a:
Density functional theory data (meta-GGA SCAN) for Co2IrPt at its PBEsol-relaxed geometry.

Size of the total moment, μB per atom: 1.27
Density, g cm⁻³: 16.60
Density of states at the Fermi level, states/eV/cell: 6.1
Crystal system: orthorhombic

abc: 3.987 2.634 9.627
angles: 90.00 90.00 90.00
Space group Amm2 (No. 38)
Inequivalent atoms, fractional coordinates:
Co 0.000 0.000 0.000
Co 0.500 0.000 0.130
Ir 0.500 0.000 0.399
Pt 0.000 0.000 0.738


Model b:
Density functional theory data (meta-GGA SCAN) for Co2IrPt at its PBEsol-relaxed geometry.

Size of the total moment, μB per atom: 1.13
Density, g cm⁻³: 16.69
Density of states at the Fermi level, states/eV/cell: 8.0
Crystal system: monoclinic

abc: 8.685 2.638 4.472
angles: 90.00 101.20 90.00
Space group Cm (No. 8)
Inequivalent atoms, fractional coordinates:
Co 0.000 0.000 0.000
Co 0.242 0.500 0.250
Ir 0.490 0.000 0.478
Pt 0.247 0.000 0.760


In order of decreasing stability: model a, model b.